{"formula": "PtWI2O", "functional": "PBE+U", "state": "optimized geometry", "relative_energy_mev_per_atom": 400, "lattice_angstrom": [[-0.4117, 5.3326, -1.9144], [-5.3450, -1.0023, -1.6424], [-1.2736, 1.1400, 3.4492]], "species": ["Pt", "I", "I", "O", "W"], "frac_coords": [[0.0000, 0.0000, 0.0000], [0.5000, 0.0000, 0.0000], [0.0000, 0.5000, 0.0000], [0.0000, 0.0000, 0.5000], [0.5000, 0.5000, 0.5000]]}